1.
Mg2Co2Ge: optimized geometry, PBE.

```
10
Lattice="5.962 0.000 0.000 0.000 5.962 0.000 0.000 0.000 4.228" Properties=species:S:1:pos:R:3 pbc="T T T"
Mg 1.006 1.975 0.000
Mg 1.975 4.956 0.000
Mg 3.987 1.006 0.000
Mg 4.956 3.987 0.000
Co 0.813 3.794 2.114
Co 2.168 0.813 2.114
Co 3.794 5.149 2.114
Co 5.149 2.168 2.114
Ge 0.000 0.000 2.114
Ge 2.981 2.981 2.114
```

Computed properties:
DFT total energy: -45.60 eV/cell
SG: P4/mbm
formation energy: -0.157 eV per atom

***

2.
CaYSc2Rh: optimized geometry, PBE.

```
5
Lattice="5.150 0.000 0.000 0.000 5.150 0.000 0.000 0.000 5.425" Properties=species:S:1:pos:R:3 pbc="T T T"
Ca 0.000 0.000 0.000
Y 2.575 2.575 0.000
Sc 0.000 2.575 2.713
Sc 2.575 0.000 2.713
Rh 2.575 2.575 2.713
```

Computed properties:
DFT total energy: -29.77 eV/cell
SG: P4/mmm
formation energy: -0.259 eV per atom

***

3.
Cs6Rb2Au3Cl: optimized geometry, PBE.

```
12
Lattice="8.784 -5.085 0.000 8.784 5.085 0.000 -0.011 0.000 8.611" Properties=species:S:1:pos:R:3 pbc="T T T"
Cs 2.888 0.000 6.672
Cs 7.373 2.566 6.532
Cs 10.185 2.566 2.079
Cs 7.373 -2.566 6.532
Cs 10.185 -2.566 2.079
Cs 14.670 0.000 1.940
Rb 5.838 0.000 2.133
Rb 11.720 0.000 6.478
Au 4.392 2.543 0.000
Au 4.392 -2.543 0.000
Au 8.779 0.000 4.306
Cl 0.000 0.000 0.000
```

Computed properties:
energy relative to the elements, uncorrected: -10.86 kcal/mol of atoms
DFT total energy: -24.39 eV/cell
SG: C2/m

***

4.
BaTm2Cd9: optimized geometry, PBE.

```
12
Lattice="3.035 1.753 9.538 -3.035 1.753 9.538 0.000 -3.505 9.538" Properties=species:S:1:pos:R:3 pbc="T T T"
Ba 0.000 0.000 0.000
Tm 0.000 0.000 4.239
Tm 0.000 0.000 24.375
Cd -1.564 -0.903 12.037
Cd 0.000 0.000 9.614
Cd 0.000 -1.806 16.578
Cd -1.564 0.903 16.578
Cd 0.000 0.000 14.307
Cd 1.564 -0.903 12.037
Cd 0.000 1.806 12.037
Cd 0.000 0.000 19.000
Cd 1.564 0.903 16.578
```

Computed properties:
DFT total energy: -21.81 eV/cell
SG: R-3m
formation energy: -0.226 eV per atom

***

5.
TbDyU: optimized geometry, PBE.

```
12
Lattice="16.969 0.000 0.000 0.000 3.646 0.000 -0.868 0.000 5.636" Properties=species:S:1:pos:R:3 pbc="T T T"
Tb 0.936 0.000 1.649
Tb 6.681 1.823 3.987
Tb 9.421 1.823 1.649
Tb 15.165 0.000 3.987
Dy 1.235 1.823 4.563
Dy 6.382 0.000 1.073
Dy 9.720 0.000 4.563
Dy 14.866 1.823 1.073
U 3.777 1.823 1.948
U 3.839 0.000 3.688
U 12.262 0.000 1.948
U 12.324 1.823 3.688
```

Computed properties:
DFT total energy: -79.36 eV/cell
SG: C2/m
formation energy: 0.227 eV per atom

***

6.
Zr2ScV: optimized geometry, PBE.

```
4
Lattice="4.680 0.000 0.000 0.000 4.680 0.000 0.000 0.000 3.833" Properties=species:S:1:pos:R:3 pbc="T T T"
Zr 0.000 2.340 0.000
Zr 2.340 0.000 0.000
Sc 0.000 0.000 1.917
V 2.340 2.340 1.917
```

Computed properties:
DFT total energy: -31.76 eV/cell
SG: P4/mmm
E above lowest polymorph: 5.36 kJ/mol of atoms
formation energy: 0.196 eV per atom

***

7.
NbBTe: optimized geometry, PBE.

```
12
Lattice="6.513 0.000 0.000 0.000 3.515 0.000 -2.895 0.000 10.946" Properties=species:S:1:pos:R:3 pbc="T T T"
Nb 0.116 0.000 3.984
Nb 0.245 1.758 6.962
Nb 3.373 1.758 3.984
Nb 3.502 0.000 6.962
B -0.894 0.000 6.044
B 1.255 1.758 4.902
B 2.363 1.758 6.044
B 4.512 0.000 4.902
Te -1.954 1.758 8.936
Te 2.315 0.000 2.010
Te 1.303 0.000 8.936
Te 5.572 1.758 2.010
```

Computed properties:
energy relative to the elements, uncorrected: -2.13 kcal/mol of atoms
DFT total energy: -80.66 eV/cell
SG: C2/m

***

8.
Pm4Er5Zn: optimized geometry, PBE.

```
10
Lattice="3.569 0.000 0.000 0.000 3.569 0.000 0.000 0.000 23.867" Properties=species:S:1:pos:R:3 pbc="T T T"
Pm 0.000 0.000 2.523
Pm 0.000 0.000 7.604
Pm 0.000 0.000 16.263
Pm 0.000 0.000 21.343
Er 1.784 1.784 0.000
Er 1.784 1.784 5.075
Er 1.784 1.784 10.193
Er 1.784 1.784 13.673
Er 1.784 1.784 18.792
Zn 0.000 0.000 11.933
```

Computed properties:
DFT total energy: -43.64 eV/cell
SG: P4/mmm
formation energy: -0.055 eV per atom

***

9.
Na2TbDy3Se6: optimized geometry, PBE.

```
12
Lattice="3.556 -6.153 0.000 3.556 6.153 0.000 -2.364 0.000 6.784" Properties=species:S:1:pos:R:3 pbc="T T T"
Na 3.556 4.111 0.000
Na 3.556 -4.111 0.000
Tb 3.556 0.000 0.000
Dy -1.182 0.000 3.392
Dy 2.375 2.079 3.392
Dy 2.375 -2.079 3.392
Se 0.018 2.030 5.061
Se 1.217 0.000 1.748
Se 0.018 -2.030 5.061
Se 4.731 2.030 1.723
Se 3.532 0.000 5.036
Se 4.731 -2.030 1.723
```

Computed properties:
energy relative to the elements, uncorrected: -39.70 kcal/mol of atoms
DFT total energy: -62.64 eV/cell
SG: C2/m

***

10.
PuScHgPt: optimized geometry, PBE.

```
4
Lattice="3.357 0.000 0.000 0.000 3.357 0.000 0.000 0.000 7.700" Properties=species:S:1:pos:R:3 pbc="T T T"
Pu 0.000 0.000 0.000
Sc 0.000 0.000 4.257
Hg 1.678 1.678 2.315
Pt 1.678 1.678 5.686
```

Computed properties:
DFT total energy: -29.62 eV/cell
SG: P4mm
E above lowest polymorph: 0.00 kJ/mol of atoms
formation energy: -0.654 eV per atom

***

11.
PuCdSiAu: optimized geometry, PBE.

```
16
Lattice="6.941 0.000 0.000 0.000 6.941 0.000 0.000 0.000 6.941" Properties=species:S:1:pos:R:3 pbc="T T T"
Pu 0.000 0.000 0.000
Pu 0.000 3.470 3.470
Pu 3.470 0.000 3.470
Pu 3.470 3.470 0.000
Cd 0.000 0.000 3.470
Cd 0.000 3.470 0.000
Cd 3.470 0.000 0.000
Cd 3.470 3.470 3.470
Si 1.735 1.735 5.205
Si 1.735 5.205 1.735
Si 5.205 1.735 1.735
Si 5.205 5.205 5.205
Au 1.735 1.735 1.735
Au 1.735 5.205 5.205
Au 5.205 1.735 5.205
Au 5.205 5.205 1.735
```

Computed properties:
energy relative to the elements, uncorrected: -4.89 kcal/mol of atoms
DFT total energy: -99.18 eV/cell
SG: F-43m

***

12.
RbGaAu3: optimized geometry, PBE.

```
10
Lattice="6.821 0.000 0.000 0.000 5.274 0.000 0.000 0.000 6.913" Properties=species:S:1:pos:R:3 pbc="T T T"
Rb 0.000 0.004 0.000
Rb 3.410 5.270 3.456
Ga 0.000 3.739 3.613
Ga 3.410 1.535 0.157
Au 0.000 1.002 3.554
Au 1.562 2.647 1.711
Au 1.849 2.627 5.167
Au 3.410 4.272 0.097
Au 4.972 2.627 5.167
Au 5.259 2.647 1.711
```

Computed properties:
DFT total energy: -30.01 eV/cell
SG: Pmn2_1
E above lowest polymorph: 0.00 kJ/mol of atoms
formation energy: -0.235 eV per atom